1.
Computed, not measured: an optimized crystal structure of Fe5Hg at the GGA-PBE level of DFT.

Structure (POSCAR):
```
Fe5Hg
1.0
-0.710 2.825 -0.527
-2.227 -0.199 1.939
5.603 2.659 6.710
Fe Hg
5 1
Cartesian
-0.613 1.719 1.731
3.954 1.877 4.736
1.648 0.782 1.974
3.278 3.566 6.390
0.000 0.000 0.000
1.332 2.643 4.061
```

Calculated total energy = -6.918 eV per atom
Crystal system = tetragonal
Calculated density = 9.96 g cm⁻³
Formation enthalpy at 0 K = 0.18 eV per atom


2.
Computed, not measured: an optimized crystal structure of Fe4Hg at the GGA-PBE level of DFT.

Structure (POSCAR):
```
Fe4Hg
1.0
-5.198 0.945 -4.348
-3.983 -2.732 -4.847
-1.754 -0.832 1.856
Fe Hg
4 1
Cartesian
-3.879 -1.088 -1.430
-8.161 -1.610 -8.018
-2.774 -1.009 0.680
-7.055 -1.530 -5.909
-5.467 -1.309 -3.669
```

Excess energy over the best structure of this formula in the dataset = 44.3 meV per atom
Calculated total energy = -6.564 eV per atom
Crystal system = monoclinic
Calculated density = 10.24 g cm⁻³
Formation enthalpy at 0 K = 0.27 eV per atom


3.
Computed, not measured: an optimized crystal structure of Fe5Hg4 at the GGA-PBE level of DFT.

Structure (POSCAR):
```
Fe5Hg4
1.0
-4.267 4.267 2.043
4.267 -4.267 2.043
4.267 4.267 -2.043
Fe Hg
5 4
Cartesian
3.048 3.048 0.000
1.219 -1.219 2.043
1.219 1.219 2.043
-1.219 1.219 2.043
0.000 0.000 0.000
2.690 0.000 0.000
0.000 2.690 0.000
0.000 5.843 0.000
5.843 0.000 0.000
```

Excess energy over the best structure of this formula in the dataset = 0.0 meV per atom
Calculated total energy = -4.449 eV per atom
Crystal system = tetragonal
Calculated density = 12.07 g cm⁻³
Formation enthalpy at 0 K = 0.39 eV per atom